Entry 1:
Entry from the Alexandria database: a geometry-optimized Tb3YEr6Th2 structure (PBE).

Output
The energy of formation from the pure elements is 0.023 eV per atom.

Cell: 6.1399 10.6278 11.6890 Å, 90.00 100.10 90.00°
Last column: nearest neighbours and their distance in Å.
Space group C2/m (No. 12)
Inequivalent atoms, fractional coordinates:
Tb: 0.0000 0.0000 0.0000 x2  6 Er 3.53-3.55, 6 Tb 3.54-3.55
Tb: 0.0000 0.3337 0.0000 x4  6 Er 3.53-3.56, 6 Tb 3.53-3.55
Y: 0.0000 0.5000 0.5000 x2  6 Er 3.53, 6 Th 3.54
Er: 0.2452 0.0000 0.7485 x4  2 Th 3.51, 6 Er 3.52-3.59, 3 Tb 3.53-3.55, 1 Y 3.53
Er: 0.2482 0.1688 0.2518 x8  2 Th 3.51, 6 Er 3.52-3.59, 1 Y 3.53, 3 Tb 3.53-3.56
Th: 0.0000 0.1666 0.5000 x4  6 Er 3.51, 3 Th 3.54, 3 Y 3.54

Entry 2:
Entry from the Alexandria database: a geometry-optimized SrB structure (PBE).

Output
Its offset from the most stable computed form is 1557 meV/atom. The energy of formation from the pure elements is 1.537 eV per atom.

Cell: 6.4333 6.4333 6.4333 Å, 90.00 90.00 90.00°
Last column: nearest neighbours and their distance in Å.
Space group F-43m (No. 216)
Inequivalent atoms, fractional coordinates:
Sr: 0.0000 0.0000 0.0000 x4  4 B 2.79
B: 0.2500 0.2500 0.2500 x4  4 Sr 2.79

Entry 3:
Entry from the Alexandria database: a geometry-optimized Dy3Y6Ho2Er structure (PBE).

Output
The energy of formation from the pure elements is 0.023 eV per atom.

Cell: 6.1526 10.6433 11.7712 Å, 90.00 99.98 90.00°
Last column: nearest neighbours and their distance in Å.
Space group C2/m (No. 12)
Inequivalent atoms, fractional coordinates:
Dy: 0.0000 0.0000 0.0000 x2  6 Dy 3.55, 6 Y 3.55-3.56
Dy: 0.0000 0.3333 0.0000 x4  6 Dy 3.55, 6 Y 3.56
Y: 0.2500 0.0000 0.7494 x4  1 Er 3.54, 2 Ho 3.54, 6 Y 3.55, 3 Dy 3.55-3.56
Y: 0.2502 0.1666 0.2507 x8  2 Ho 3.54, 1 Er 3.54, 6 Y 3.55, 3 Dy 3.56
Ho: 0.0000 0.1666 0.5000 x4  6 Y 3.54, 3 Ho 3.55, 3 Er 3.55
Er: 0.0000 0.5000 0.5000 x2  6 Y 3.54, 6 Ho 3.55

Entry 4:
Entry from the Alexandria database: a geometry-optimized Cs2ZrIrF6 structure (PBE).

Output
As for the formation energy (no corrections): -2.40 eV/atom.

Cell: 7.5608 7.5608 8.2621 Å, 90.00 90.00 90.00°
Last column: nearest neighbours and their distance in Å.
Space group I4/mmm (No. 139)
Inequivalent atoms, fractional coordinates:
Cs: 0.0000 0.5000 0.2500 x4  12 F 3.44-3.78
Zr: 0.0000 0.0000 0.0000 x2  6 F 2.03-2.06
Ir: 0.0000 0.0000 0.5000 x2  2 F 2.07
F: 0.0000 0.0000 0.2499 x4  1 Zr 2.06, 1 Ir 2.07
F: 0.1900 0.1900 0.0000 x8  1 Zr 2.03

Entry 5:
Entry from the Alexandria database: a geometry-optimized CaCuF3 structure (PBE).

Output
Its offset from the most stable computed form is 88 meV/atom. As for the formation energy (no corrections): -2.23 eV/atom.

Cell: 4.1333 4.1333 4.1333 Å, 90.00 90.00 90.00°
Last column: nearest neighbours and their distance in Å.
Space group Pm-3m (No. 221)
Inequivalent atoms, fractional coordinates:
Ca: 0.0000 0.0000 0.0000 x1  12 F 2.92
Cu: 0.5000 0.5000 0.5000 x1  6 F 2.07
F: 0.0000 0.5000 0.5000 x3  2 Cu 2.07

Entry 6:
Entry from the Alexandria database: a geometry-optimized NdBeZnPt3 structure (PBE).

Output
The energy of formation from the pure elements is -0.628 eV per atom.

Cell: 6.9309 11.5938 5.5962 Å, 90.00 90.00 90.00°
Last column: nearest neighbours and their distance in Å.
Space group Cmcm (No. 63)
Inequivalent atoms, fractional coordinates:
Nd: 0.0000 0.2078 0.2500 x4  6 Pt 2.99-3.11, 2 Be 3.03, 1 Zn 3.15
Be: 0.0000 0.1081 0.7500 x4  5 Pt 2.21-2.33
Zn: 0.0000 0.4795 0.2500 x4  5 Pt 2.52-2.57
Pt: 0.0000 0.2990 0.7500 x4  1 Be 2.21
Pt: 0.1996 0.0000 0.0000 x8  2 Be 2.33, 2 Zn 2.52

Entry 7:
Entry from the Alexandria database: a geometry-optimized TiBeZnAu structure (PBE).

Output
The energy of formation from the pure elements is -0.126 eV per atom.

Cell: 6.1003 6.1003 6.1003 Å, 90.00 90.00 90.00°
Last column: nearest neighbours and their distance in Å.
Space group F-43m (No. 216)
Inequivalent atoms, fractional coordinates:
Ti: 0.0000 0.0000 0.0000 x4  4 Be 2.64, 4 Zn 2.64
Be: 0.2500 0.2500 0.7500 x4  4 Ti 2.64, 4 Au 2.64
Zn: 0.2500 0.2500 0.2500 x4  4 Ti 2.64, 4 Au 2.64
Au: 0.0000 0.0000 0.5000 x4  4 Be 2.64, 4 Zn 2.64

Entry 8:
Entry from the Alexandria database: a geometry-optimized LiHfPd6 structure (PBE).

Output
Its offset from the most stable computed form is 320 meV/atom. The energy of formation from the pure elements is -0.260 eV per atom.

Cell: 7.7925 5.4104 7.1260 Å, 90.00 110.01 90.00°
Last column: nearest neighbours and their distance in Å.
Space group C2/m (No. 12)
Inequivalent atoms, fractional coordinates:
Li: 0.0000 0.0000 0.0000 x2  10 Pd 2.63-2.84
Hf: 0.0000 0.5000 0.5000 x2  6 Pd 2.62-2.72
Pd: 0.1334 0.0000 0.4241 x4  7 Pd 2.65-2.91, 1 Hf 2.72, 1 Li 2.84
Pd: 0.2082 0.2405 0.8022 x8  6 Pd 2.60-2.91, 1 Hf 2.62, 2 Li 2.63-2.81

Entry 9:
Entry from the Alexandria database: a geometry-optimized KTl2Cl structure (PBE).

Output
Its offset from the most stable computed form is 11 meV/atom. As for the formation energy (no corrections): -0.70 eV/atom.

Cell: 4.4330 4.4330 30.4240 Å, 90.00 90.00 90.00°
Last column: nearest neighbours and their distance in Å.
Space group I-42d (No. 122)
Inequivalent atoms, fractional coordinates:
K: 0.0000 0.0000 0.0000 x4  4 Cl 3.13
Tl: 0.2466 0.2500 0.6250 x8  4 Tl 3.11-3.16
Cl: 0.0000 0.0000 0.5000 x4  4 K 3.13

Computed values of N(E_F) (unit: states/eV/atom) for the preceding records, in sequence: 1.3211, 1.5932, 1.4513, 0.0000, 0.2558, 0.3683, 0.9130, 0.6068, 0.3916.
Computed values of density (unit: Mg/m³) for the preceding records, in sequence: 8.99, 2.46, 6.64, 4.66, 3.78, 11.87, 9.34, 9.69, 5.37.